*P*
The following is a PBE calculation of a relaxed CeThCd crystal, from Alexandria.

Output
space-group type = No. 187

```
CeThCd
1.0
3.130 0.000 0.000
0.000 5.431 0.000
0.000 -2.715 4.703
Th Cd Ce
1 1 1
Direct
0.167 0.333 0.667
0.666 0.667 0.333
0.166 0.000 0.000
```

***

*Q*
The following is a PBE calculation of a relaxed CeThCd crystal, from Alexandria.

Output
space-group type = No. 107

```
CeThCd
1.0
3.338 0.000 0.000
0.000 3.338 0.000
-1.669 -1.669 7.620
Th Cd Ce
1 1 1
Direct
0.004 0.004 0.008
0.668 0.668 0.337
0.327 0.327 0.655
```

***

*R*
The following is a PBE calculation of a relaxed CeThCd crystal, from Alexandria.

Output
space-group type = No. 12

```
CeThCd
1.0
-2.478 1.282 1.972
-2.797 -1.851 0.647
7.676 -6.695 13.962
Ce Th Cd
2 2 2
Direct
0.455 0.781 0.473
0.121 0.449 0.959
0.455 0.782 0.130
0.121 0.448 0.302
0.789 0.115 0.632
0.787 0.115 0.799
```

***

*S*
The following is a PBE calculation of a relaxed CeThCd crystal, from Alexandria.

Output
space-group type = No. 69

```
CeThCd
1.0
-3.619 2.927 4.610
-6.342 1.949 -1.561
-3.385 -2.591 3.643
Th Ce Cd
2 2 2
Direct
0.250 0.500 0.500
0.750 0.500 0.500
0.348 0.000 0.305
0.652 0.000 0.695
0.114 0.772 0.000
0.886 0.228 0.000
```

***

Unit: meV/atom. Relative energies: *P* 114; *Q* 0; *R* 92; *S* 186.

***

*P*
The following is a PBE calculation of a relaxed Ce2ThCd crystal, from Alexandria.

Output
space-group type = No. 160

```
Ce2ThCd
1.0
3.401 0.000 0.000
1.700 2.945 0.000
1.700 0.982 11.318
Ce Th Cd
2 1 1
Direct
0.081 0.081 0.756
0.252 0.252 0.243
0.500 0.500 0.500
0.667 0.667 0.000
```

***

*Q*
The following is a PBE calculation of a relaxed Ce2ThCd crystal, from Alexandria.

Output
space-group type = No. 123

```
Ce2ThCd
1.0
-3.220 -1.418 3.538
3.624 -1.502 2.696
0.299 4.309 1.999
Cd Ce Th
1 2 1
Direct
0.500 0.500 0.500
0.000 0.500 0.000
0.000 0.000 0.500
0.500 0.000 0.000
```

***

*R*
The following is a PBE calculation of a relaxed Ce2ThCd crystal, from Alexandria.

Output
space-group type = No. 123

```
Ce2ThCd
1.0
-0.845 2.160 -2.623
-3.307 -1.145 0.123
-2.074 6.650 6.144
Ce Th Cd
2 1 1
Direct
0.000 0.000 0.757
0.000 0.000 0.243
0.500 0.500 0.500
0.500 0.500 0.000
```

***

Unit: meV/atom. Relative energies: *P* 100; *Q* 67; *R* 0.

***

*P*
The following is a PBE calculation of a relaxed Ce2ThCd crystal, from Alexandria.

Output
space-group type = No. 166

```
Ce2ThCd
1.0
-0.305 1.492 3.029
-2.787 1.784 0.738
-6.314 -8.996 5.695
Th Ce Cd
1 2 1
Direct
0.500 0.500 0.500
0.090 0.090 0.730
0.910 0.910 0.270
0.000 0.000 0.000
```

***

*Q*
The following is a PBE calculation of a relaxed Ce2ThCd crystal, from Alexandria.

Output
space-group type = No. 225

```
Ce2ThCd
1.0
-2.406 4.308 2.303
-2.641 -0.562 4.728
2.068 2.165 4.548
Ce Cd Th
2 1 1
Direct
0.250 0.250 0.250
0.750 0.750 0.750
0.500 0.500 0.500
0.000 0.000 0.000
```

***

Unit: meV/atom. Relative energies: *P* 72; *Q* 0.

***

*P*
The following is a PBE calculation of a relaxed CeThTlCd crystal, from Alexandria.

Output
space-group type = No. 38

```
CeThTlCd
1.0
-0.192 2.426 -2.235
-5.638 -2.808 -0.120
-1.919 3.676 4.156
Tl Cd Th Ce
1 1 1 1
Direct
0.206 0.412 0.000
0.940 0.881 0.000
0.069 0.137 0.500
0.798 0.595 0.500
```

***

*Q*
The following is a PBE calculation of a relaxed CeThTlCd crystal, from Alexandria.

Output
space-group type = No. 216

```
CeThTlCd
1.0
-1.146 -3.251 -4.246
1.184 -5.334 0.242
-4.028 -3.681 0.383
Ce Th Cd Tl
1 1 1 1
Direct
0.000 0.000 0.000
0.500 0.500 0.500
0.750 0.750 0.750
0.250 0.250 0.250
```

***

Unit: meV/atom. Relative energies: *P* 246; *Q* 0.

***

*P*
The following is a PBE calculation of a relaxed Ce4Tl3Cd crystal, from Alexandria.

Output
space-group type = No. 12

```
Ce4Tl3Cd
1.0
3.148 0.000 0.000
0.000 5.651 -0.737
-1.574 -2.395 13.076
Cd Tl Ce
1 3 4
Direct
0.500 0.000 0.000
0.000 0.500 0.000
0.721 0.199 0.443
0.279 0.801 0.557
0.894 0.035 0.787
0.855 0.418 0.711
0.106 0.965 0.213
0.145 0.582 0.289
```

***

*Q*
The following is a PBE calculation of a relaxed Ce4Tl3Cd crystal, from Alexandria.

Output
space-group type = No. 139

```
Ce4Tl3Cd
1.0
4.681 0.000 -1.264
-0.335 4.675 -1.240
0.203 0.167 10.053
Tl Ce Cd
3 4 1
Direct
0.250 0.750 0.499
0.750 0.250 0.501
0.000 0.500 0.000
0.376 0.376 0.752
0.876 0.876 0.752
0.624 0.624 0.248
0.124 0.124 0.248
0.500 0.000 0.000
```

***

Unit: meV/atom. Relative energies: *P* 349; *Q* 0.

***

*P*
The following is a PBE calculation of a relaxed Ce4Tl5Cd crystal, from Alexandria.

Output
space-group type = No. 12

```
Ce4Tl5Cd
1.0
5.065 0.000 -1.737
-0.545 6.427 -1.589
0.166 0.212 8.738
Cd Tl Ce
1 5 4
Direct
0.500 0.000 0.000
0.712 0.845 0.425
0.901 0.685 0.803
0.288 0.155 0.575
0.500 0.500 0.000
0.099 0.315 0.197
0.095 0.808 0.190
0.905 0.192 0.810
0.695 0.343 0.390
0.305 0.657 0.610
```

***

*Q*
The following is a PBE calculation of a relaxed Ce4Tl5Cd crystal, from Alexandria.

Output
space-group type = No. 59

```
Ce4Tl5Cd
1.0
-5.245 -4.661 4.223
6.486 1.042 9.205
-3.409 5.454 1.785
Tl Ce Cd
10 8 2
Direct
0.178 0.787 0.770
0.822 0.713 0.730
0.165 0.000 0.500
0.178 0.213 0.770
0.178 0.787 0.230
0.835 0.500 0.000
0.822 0.287 0.730
0.178 0.213 0.230
0.822 0.287 0.270
0.822 0.713 0.270
0.491 0.337 0.000
0.509 0.163 0.500
0.509 0.837 0.500
0.831 0.000 0.779
0.831 0.000 0.221
0.491 0.663 0.000
0.169 0.500 0.721
0.169 0.500 0.279
0.544 0.500 0.500
0.456 0.000 0.000
```

***

Unit: meV/atom. Relative energies: *P* 0; *Q* 287.

***

*P*
The following is a PBE calculation of a relaxed Ce2TlCd3 crystal, from Alexandria.

Output
space-group type = No. 44

```
Ce2TlCd3
1.0
3.360 0.000 -0.894
-0.376 4.971 -1.413
0.780 0.112 9.689
Ce Cd Tl
2 3 1
Direct
0.874 0.374 0.749
0.126 0.126 0.252
0.691 0.691 0.382
0.538 0.538 0.077
0.307 0.807 0.613
0.464 0.964 0.928
```

***

*Q*
The following is a PBE calculation of a relaxed Ce2TlCd3 crystal, from Alexandria.

Output
space-group type = No. 25

```
Ce2TlCd3
1.0
3.368 0.000 0.000
0.000 5.149 0.000
0.000 0.000 8.913
Ce Cd Tl
2 3 1
Direct
0.000 0.000 0.500
0.000 0.500 0.000
0.500 0.000 0.831
0.500 0.000 0.160
0.500 0.500 0.673
0.500 0.500 0.335
```

***

Unit: meV/atom. Relative energies: *P* 164; *Q* 0.

***

*P*
The following is a PBE calculation of a relaxed Ce3Tl2Cd4 crystal, from Alexandria.

Output
space-group type = No. 189

```
Ce3Tl2Cd4
1.0
4.703 0.000 0.000
0.000 7.706 0.000
0.000 -3.853 6.674
Cd Ce Tl
4 3 2
Direct
0.500 0.000 0.000
0.000 0.762 0.000
0.000 0.000 0.762
0.000 0.238 0.238
0.500 0.573 0.573
0.500 0.427 0.000
0.500 0.000 0.427
0.000 0.667 0.333
0.000 0.333 0.667
```

***

*Q*
The following is a PBE calculation of a relaxed Ce3Tl2Cd4 crystal, from Alexandria.

Output
space-group type = No. 12

```
Ce3Tl2Cd4
1.0
-0.907 5.030 0.533
-3.296 -2.750 -4.428
-2.525 -1.418 9.092
Cd Ce Tl
4 3 2
Direct
0.945 0.891 0.607
0.722 0.444 0.050
0.278 0.556 0.950
0.055 0.109 0.393
0.670 0.339 0.668
0.330 0.661 0.332
0.000 0.000 0.000
0.389 0.779 0.723
0.611 0.221 0.277
```

***

Unit: meV/atom. Relative energies: *P* 11; *Q* 0.

***

*P*
The following is a PBE calculation of a relaxed Ce3TlCd crystal, from Alexandria.

Output
space-group type = No. 62

```
Ce3TlCd
1.0
-2.948 0.738 3.819
0.090 -9.499 1.907
9.397 1.488 6.967
Ce Tl Cd
12 4 4
Direct
0.250 0.832 0.819
0.250 0.176 0.645
0.250 0.324 0.145
0.750 0.676 0.855
0.750 0.332 0.681
0.750 0.824 0.355
0.750 0.618 0.633
0.750 0.168 0.181
0.250 0.118 0.867
0.250 0.668 0.319
0.250 0.382 0.367
0.750 0.882 0.133
0.250 0.843 0.549
0.750 0.343 0.951
0.250 0.657 0.049
0.750 0.157 0.451
0.750 0.971 0.688
0.250 0.029 0.312
0.750 0.529 0.188
0.250 0.471 0.812
```

***

*Q*
The following is a PBE calculation of a relaxed Ce3TlCd crystal, from Alexandria.

Output
space-group type = No. 11

```
Ce3TlCd
1.0
5.630 0.000 -3.144
0.000 4.552 0.000
-5.476 0.000 13.912
Ce Tl Cd
6 2 2
Direct
0.202 0.750 0.065
0.798 0.250 0.935
0.620 0.250 0.356
0.810 0.250 0.762
0.380 0.750 0.644
0.190 0.750 0.238
0.636 0.250 0.112
0.364 0.750 0.888
0.248 0.250 0.431
0.752 0.750 0.569
```

***

Unit: meV/atom. Relative energies: *P* 0; *Q* 16.

***

*P*
The following is a PBE calculation of a relaxed CeTm2Cd crystal, from Alexandria.

Output
space-group type = No. 123

```
CeTm2Cd
1.0
3.519 0.000 0.000
0.000 3.519 0.000
0.000 0.000 8.850
Ce Tm Cd
1 2 1
Direct
0.500 0.500 0.500
0.000 0.000 0.769
0.000 0.000 0.231
0.500 0.500 0.000
```

***

*Q*
The following is a PBE calculation of a relaxed CeTm2Cd crystal, from Alexandria.

Output
space-group type = No. 160

```
CeTm2Cd
1.0
-2.153 -2.417 -1.309
-1.613 -2.241 2.136
-9.532 5.307 1.224
Tm Ce Cd
2 1 1
Direct
0.256 0.256 0.232
0.077 0.077 0.768
0.500 0.500 0.500
0.667 0.667 0.000
```

***

*R*
The following is a PBE calculation of a relaxed CeTm2Cd crystal, from Alexandria.

Output
space-group type = No. 225

```
CeTm2Cd
1.0
-1.409 -5.134 -0.257
1.698 -3.419 3.719
-3.437 -2.001 3.548
Ce Tm Cd
1 2 1
Direct
0.000 0.000 0.000
0.750 0.750 0.750
0.250 0.250 0.250
0.500 0.500 0.500
```

***

*S*
The following is a PBE calculation of a relaxed CeTm2Cd crystal, from Alexandria.

Output
space-group type = No. 166

```
CeTm2Cd
1.0
-0.750 2.556 2.232
-3.309 0.677 0.818
-0.763 -5.842 9.137
Ce Tm Cd
1 2 1
Direct
0.500 0.500 0.500
0.745 0.745 0.764
0.255 0.255 0.236
0.000 0.000 0.000
```

***

Unit: meV/atom. Relative energies: *P* 0; *Q* 88; *R* 182; *S* 56.